Ba3Mn5Br12 | GGA-PBE | optimized geometry

Geometry as CIF:
```
data_Ba3Mn5Br12
_chemical_formula_sum 'Ba24 Mn40 Br96'
_space_group_name_H-M_alt 'I a -3 d'
_space_group_IT_number 230
_space_group_name_Hall '-I 4bd 2c 3'
_cell_length_a 17.124
_cell_length_b 17.124
_cell_length_c 17.124
_cell_angle_alpha 90.00
_cell_angle_beta 90.00
_cell_angle_gamma 90.00
loop_
_atom_site_label
_atom_site_type_symbol
_atom_site_fract_x
_atom_site_fract_y
_atom_site_fract_z
Ba1 Ba 0.000 0.250 0.125
Mn1 Mn 0.000 0.000 0.000
Mn2 Mn 0.000 0.250 0.375
Br1 Br 0.033 0.055 0.647
```

Output
For the total moment, the calculation gives 21.24 μB/f.u. Its calculated total energy is -4.58 eV per atom. The raw formation energy comes out at -19.99 eV per formula unit.



NdCdNi2 | GGA-PBE | optimized geometry

Geometry as CIF:
```
data_NdCdNi2
_chemical_formula_sum 'Nd2 Cd2 Ni4'
_space_group_name_H-M_alt 'C 1 2/m 1'
_space_group_IT_number 12
_cell_length_a 7.684
_cell_length_b 4.450
_cell_length_c 5.231
_cell_angle_alpha 90.00
_cell_angle_beta 119.58
_cell_angle_gamma 90.00
loop_
_space_group_symop_operation_xyz
'x,y,z'
'-x,-y,-z'
'-x,y,-z'
'x,-y,z'
'x+1/2,y+1/2,z'
'-x+1/2,-y+1/2,-z'
'-x+1/2,y+1/2,-z'
'x+1/2,-y+1/2,z'
loop_
_atom_site_label
_atom_site_type_symbol
_atom_site_fract_x
_atom_site_fract_y
_atom_site_fract_z
Nd1 Nd 0.000 0.000 0.000
Cd1 Cd 0.000 0.500 0.500
Ni1 Ni 0.203 0.000 0.610
```

Output
The energy of formation is -0.21 eV/atom. For the total moment, the calculation gives 0.00 μB/f.u. Its calculated total energy is -4.52 eV per atom.



Th3Al8Au3 | GGA-PBE | optimized geometry

Geometry as CIF:
```
data_Th3Al8Au3
_chemical_formula_sum 'Th6 Al16 Au6'
_space_group_name_H-M_alt 'I m m m'
_space_group_IT_number 71
_space_group_name_Hall '-I 2 2'
_cell_length_a 4.447
_cell_length_b 10.341
_cell_length_c 12.556
_cell_angle_alpha 90.00
_cell_angle_beta 90.00
_cell_angle_gamma 90.00
loop_
_atom_site_label
_atom_site_type_symbol
_atom_site_fract_x
_atom_site_fract_y
_atom_site_fract_z
Th1 Th 0.000 0.000 0.000
Th2 Th 0.000 0.000 0.316
Al1 Al 0.000 0.278 0.124
Al2 Al 0.000 0.371 0.330
Au1 Au 0.000 0.236 0.500
Au2 Au 0.000 0.500 0.000
```

Output
Its energy above the most stable polymorph in this dataset is 0.025 eV/atom. The energy of formation is -0.49 eV/atom. For the total moment, the calculation gives 0.00 μB/f.u. Its calculated total energy is -4.92 eV per atom.



Al2AuCl | GGA-PBE | optimized geometry

Geometry as CIF:
```
data_Al2AuCl
_chemical_formula_sum 'Al4 Au2 Cl2'
_space_group_name_H-M_alt 'I m m m'
_space_group_IT_number 71
_space_group_name_Hall '-I 2 2'
_cell_length_a 3.410
_cell_length_b 5.844
_cell_length_c 8.013
_cell_angle_alpha 90.00
_cell_angle_beta 90.00
_cell_angle_gamma 90.00
loop_
_atom_site_label
_atom_site_type_symbol
_atom_site_fract_x
_atom_site_fract_y
_atom_site_fract_z
Al1 Al 0.000 0.000 0.246
Au1 Au 0.000 0.500 0.500
Cl1 Cl 0.000 0.500 0.000
```

Output
Its energy above the most stable polymorph in this dataset is 0.414 eV/atom. For the total moment, the calculation gives 0.00 μB/f.u. Its calculated total energy is -3.24 eV per atom. The raw formation energy comes out at -0.34 eV per formula unit.



Zr2PtRh4 | GGA-PBE | optimized geometry

Geometry as CIF:
```
data_Zr2PtRh4
_chemical_formula_sum 'Zr4 Pt2 Rh8'
_space_group_name_H-M_alt 'I 4/m m m'
_space_group_IT_number 139
_space_group_name_Hall '-I 4 2'
_cell_length_a 3.597
_cell_length_b 3.597
_cell_length_c 18.753
_cell_angle_alpha 90.00
_cell_angle_beta 90.00
_cell_angle_gamma 90.00
loop_
_atom_site_label
_atom_site_type_symbol
_atom_site_fract_x
_atom_site_fract_y
_atom_site_fract_z
Zr1 Zr 0.000 0.000 0.090
Pt1 Pt 0.000 0.000 0.500
Rh1 Rh 0.000 0.000 0.356
Rh2 Rh 0.000 0.500 0.250
```

Output
The energy of formation is -0.44 eV/atom. For the total moment, the calculation gives 0.00 μB/f.u. Its calculated total energy is -7.95 eV per atom.



RbCd3Pd2 | GGA-PBE | optimized geometry

Geometry as CIF:
```
data_RbCd3Pd2
_chemical_formula_sum 'Rb4 Cd12 Pd8'
_space_group_name_H-M_alt 'C m c m'
_space_group_IT_number 63
_space_group_name_Hall '-C 2c 2'
_cell_length_a 11.644
_cell_length_b 8.919
_cell_length_c 5.908
_cell_angle_alpha 90.00
_cell_angle_beta 90.00
_cell_angle_gamma 90.00
loop_
_atom_site_label
_atom_site_type_symbol
_atom_site_fract_x
_atom_site_fract_y
_atom_site_fract_z
Rb1 Rb 0.000 0.144 0.250
Cd1 Cd 0.000 0.446 0.750
Cd2 Cd 0.208 0.232 0.750
Pd1 Pd 0.199 0.500 0.000
```

Output
The energy of formation is -0.28 eV/atom. For the total moment, the calculation gives 0.00 μB/f.u. Its calculated total energy is -2.63 eV per atom.



Y3Be | GGA-PBE | optimized geometry

Geometry as CIF:
```
data_Y3Be
_chemical_formula_sum 'Y3 Be1'
_space_group_name_H-M_alt 'P m m 2'
_space_group_IT_number 25
_cell_length_a 3.456
_cell_length_b 3.632
_cell_length_c 9.086
_cell_angle_alpha 90.00
_cell_angle_beta 90.00
_cell_angle_gamma 90.00
loop_
_space_group_symop_operation_xyz
'x,y,z'
'-x,-y,z'
'-x,y,z'
'x,-y,z'
loop_
_atom_site_label
_atom_site_type_symbol
_atom_site_fract_x
_atom_site_fract_y
_atom_site_fract_z
Y1 Y 0.000 0.000 0.000
Y2 Y 0.000 0.500 0.335
Y3 Y 0.500 0.500 0.716
Be1 Be 0.500 0.000 0.472
```

Output
Its energy above the most stable polymorph in this dataset is 0.268 eV/atom. The energy of formation is 0.33 eV/atom. For the total moment, the calculation gives 0.00 μB/f.u. Its calculated total energy is -5.45 eV per atom.



GaSbF3 | GGA-PBE | optimized geometry

Geometry as CIF:
```
data_GaSbF3
_chemical_formula_sum 'Ga1 Sb1 F3'
_space_group_name_H-M_alt 'P m -3 m'
_space_group_IT_number 221
_space_group_name_Hall '-P 4 2 3'
_cell_length_a 4.619
_cell_length_b 4.619
_cell_length_c 4.619
_cell_angle_alpha 90.00
_cell_angle_beta 90.00
_cell_angle_gamma 90.00
loop_
_atom_site_label
_atom_site_type_symbol
_atom_site_fract_x
_atom_site_fract_y
_atom_site_fract_z
Ga1 Ga 0.000 0.000 0.000
Sb1 Sb 0.500 0.500 0.500
F1 F 0.000 0.500 0.500
```

Output
Its energy above the most stable polymorph in this dataset is 0.000 eV/atom. For the total moment, the calculation gives 0.00 μB/f.u. Its calculated total energy is -4.04 eV per atom. The raw formation energy comes out at -7.44 eV per formula unit.



One value per record, in order, for V: 31.386; 19.445; 20.622; 19.962; 17.331; 25.563; 28.514; 19.708 A^3/atom.
One value per record, in order, for N(E_F): 0.828; 0.657; 0.485; 0.444; 1.450; 0.352; 1.101; 0.619 states/eV/atom.